DFT (PBE) results for a relaxed MnCrMoP2 crystal.

The spin magnetization is 3.74 Bohr magnetons per cell. The total energy is -7.1347 eV/atom.

Structure (CIF):
```
data_MnCrMoP2
_chemical_formula_sum 'Mn1 Cr1 Mo1 P2'
_symmetry_space_group_name_H-M 'P 4/m m m'
_symmetry_Int_Tables_number 123
_symmetry_space_group_name_Hall '-P 4 2'
_cell_length_a 4.334
_cell_length_b 4.334
_cell_length_c 4.245
_cell_angle_alpha 90.00
_cell_angle_beta 90.00
_cell_angle_gamma 90.00
loop_
_atom_site_label
_atom_site_type_symbol
_atom_site_fract_x
_atom_site_fract_y
_atom_site_fract_z
Mn1 Mn 0.000 0.000 0.000
Cr1 Cr 0.000 0.000 0.500
Mo1 Mo 0.500 0.500 0.000
P1 P 0.000 0.500 0.500
```